No. 1
VASP calculation (PBE) on a geometry-optimized Ca2AcAu2 structure.

```
Ca2AcAu2
1.0
4.909 0.000 0.000
0.000 5.776 -0.650
0.000 -2.706 11.438
Ac Au Ca
2 4 4
Cartesian
3.682 -1.030 8.859
1.227 4.101 1.929
1.227 3.262 6.698
3.682 -0.192 4.090
1.227 -0.726 10.968
3.682 3.797 -0.180
1.227 2.054 9.572
3.682 2.822 4.868
3.682 1.016 1.216
1.227 0.249 5.920
```

- theoretical density (g cm⁻³) = 7.38
- symmetry = P2_1/m
- E_form (meV per atom) = -645
- total magnetic moment (μB per formula unit) = 0.000



No. 2
VASP calculation (PBE) on a geometry-optimized MgTiTe3 structure.

```
MgTiTe3
1.0
-1.145 2.665 4.507
1.993 -4.044 2.898
4.842 2.295 -0.127
Ti Te Mg
1 3 1
Cartesian
0.000 0.000 0.000
-0.573 1.333 2.253
0.996 -2.022 1.449
2.421 1.148 -0.063
2.845 0.458 3.639
```

- theoretical density (g cm⁻³) = 4.91
- symmetry = Pm-3m
- formation energy (no corrections) (eV/atom) = -0.14
- total magnetic moment (μB per formula unit) = 0.000



No. 3
VASP calculation (PBE) on a geometry-optimized PtW2Se structure.

```
PtW2Se
1.0
5.312 0.002 -0.002
2.460 4.708 0.002
-3.385 -3.182 2.576
Pt W Se
1 2 1
Cartesian
2.906 -0.412 1.287
0.198 0.120 0.000
3.688 2.235 0.000
1.480 1.941 1.289
```

- theoretical density (g cm⁻³) = 16.54
- symmetry = Immm
- formation energy (no corrections) (eV/atom) = 0.38
- total magnetic moment (μB per formula unit) = 0.000



No. 4
VASP calculation (PBE) on a geometry-optimized MgCdSnPb structure.

```
MgCdSnPb
1.0
5.343 0.000 0.000
2.672 4.627 0.000
2.672 1.542 4.363
Pb Cd Mg Sn
1 1 1 1
Cartesian
5.343 3.085 2.181
8.015 4.627 3.272
0.000 0.000 0.000
2.672 1.542 1.091
```

- theoretical density (g cm⁻³) = 7.12
- symmetry = F-43m
- E_form (meV per atom) = 20
- total magnetic moment (μB per formula unit) = 0.000



No. 5
VASP calculation (PBE) on a geometry-optimized SrLiTc2 structure.

```
SrLiTc2
1.0
-1.839 -2.561 -1.231
1.891 -0.009 -2.807
4.340 -4.528 2.938
Li Tc Sr
1 2 1
Cartesian
1.111 -2.417 -1.284
1.763 -1.839 1.193
0.407 -0.425 0.276
3.281 -4.681 0.185
```

- theoretical density (g cm⁻³) = 6.08
- symmetry = P4/mmm
- E_form (meV per atom) = 703
- total magnetic moment (μB per formula unit) = 0.000



No. 6
VASP calculation (PBE) on a geometry-optimized CaRuSeBr2 structure.

```
CaRuSeBr2
1.0
-0.919 4.067 -3.476
-5.243 -1.388 -0.238
-1.122 3.487 4.376
Br Se Ca Ru
2 1 1 1
Cartesian
-2.621 -0.694 -0.119
-0.459 2.033 -1.738
-0.561 1.744 2.188
0.000 0.000 0.000
-3.642 3.083 0.331
```

- theoretical density (g cm⁻³) = 3.75
- symmetry = P4/mmm
- formation energy (no corrections) (eV/atom) = 0.17
- total magnetic moment (μB per formula unit) = 4.024